No. 1
A plane-wave DFT calculation with PBE was carried out for crystalline TbNd2Pu at its relaxed geometry.

Computed properties:
* relative energy among the computed polymorphs: 0.1493 eV/atom
* DOS(E_F): 3.128 states/eV per atom
* energy relative to the elements: 0.264 eV/atom
* M_tot: 6.51 μB per formula unit

Cell lengths 3.5100, 3.5100, 12.6358 Å; angles 82.02, 82.02, 60.00 degrees
With the nearest neighbours (Å) after each atom.
Element x y z (fractional)
Tb (0.5000, 0.5000, 0.5000)  6 Tb 3.51, 6 Nd 3.57
Nd (0.0881, 0.0881, 0.7358)  1 Pu 3.30, 6 Nd 3.51, 3 Tb 3.57
Nd (0.9119, 0.9119, 0.2642)  1 Pu 3.30, 6 Nd 3.51, 3 Tb 3.57
Pu (0.0000, 0.0000, 0.0000)  2 Nd 3.30, 6 Pu 3.51

***

No. 2
A plane-wave DFT calculation with PBE was carried out for crystalline LiMgMnPb at its relaxed geometry.

Computed properties:
* DOS(E_F): 0.474 states/eV per atom
* energy relative to the elements: 0.044 eV/atom
* M_tot: 3.71 μB per formula unit

Cell lengths 4.7633, 4.7633, 4.7633 Å; angles 60.00, 60.00, 60.00 degrees
With the nearest neighbours (Å) after each atom.
Element x y z (fractional)
Mg (0.0000, 0.0000, 0.0000)  4 Mn 2.92, 4 Li 2.92
Pb (0.5000, 0.5000, 0.5000)  4 Li 2.92, 4 Mn 2.92
Mn (0.2500, 0.2500, 0.2500)  4 Pb 2.92, 4 Mg 2.92
Li (0.7500, 0.7500, 0.7500)  4 Mg 2.92, 4 Pb 2.92

***

No. 3
A plane-wave DFT calculation with PBE was carried out for crystalline TbHfTlHg at its relaxed geometry.

Computed properties:
* DOS(E_F): 1.369 states/eV per atom
* energy relative to the elements: -0.104 eV/atom
* M_tot: 0.00 μB per formula unit

Cell lengths 5.1515, 5.1515, 5.1515 Å; angles 60.00, 60.00, 60.00 degrees
With the nearest neighbours (Å) after each atom.
Element x y z (fractional)
Hf (0.7500, 0.7500, 0.7500)  4 Hg 3.15, 4 Tl 3.15
Tl (0.0000, 0.0000, 0.0000)  4 Tb 3.15, 4 Hf 3.15
Tb (0.2500, 0.2500, 0.2500)  4 Hg 3.15, 4 Tl 3.15
Hg (0.5000, 0.5000, 0.5000)  4 Hf 3.15, 4 Tb 3.15

***

No. 4
A plane-wave DFT calculation with PBE was carried out for crystalline MgFe2RuCl at its relaxed geometry.

Computed properties:
* formation energy without anion corrections: 4.64 eV/f.u.
* DOS(E_F): 1.630 states/eV per atom
* M_tot: 6.77 μB per formula unit

Cell lengths 4.7190, 4.6447, 4.7190 Å; angles 90.00, 90.00, 90.00 degrees
With the nearest neighbours (Å) after each atom.
Element x y z (fractional)
Ru (0.0000, 0.0000, 0.0000)  2 Cl 2.32, 4 Fe 2.36
Fe (0.5000, 0.0000, 0.0000)  2 Ru 2.36
Fe (0.0000, 0.0000, 0.5000)  2 Ru 2.36
Mg (0.5000, 0.5000, 0.5000)  8 Fe 3.31, 4 Cl 3.34
Cl (0.0000, 0.5000, 0.0000)  2 Ru 2.32